Arrangement A

Here is crystalline LiY3 at its relaxed geometry from the Alexandria database. Energies are from PBE. Values from VASP.

Output
- volume (A^3/atom) = 30.59
- spin magnetization (μB/f.u.) = 0.199

```
&SYSTEM
  ibrav = 0, nat = 4, ntyp = 2
/
ATOMIC_SPECIES
Li 6.94 Li.upf
Y 88.91 Y.upf
ATOMIC_POSITIONS crystal
Li 0.000 0.000 0.000
Y 0.000 0.000 0.500
Y 0.667 0.333 0.243
Y 0.667 0.333 0.757
CELL_PARAMETERS angstrom
3.575 0.000 0.000
-1.788 3.096 0.000
0.000 0.000 11.054
```

=====

Arrangement B

Here is crystalline LiY3 at its relaxed geometry from the Alexandria database. Energies are from PBE. Values from VASP.

Output
- volume (A^3/atom) = 30.05
- spin magnetization (μB/f.u.) = 0.002

```
&SYSTEM
  ibrav = 0, nat = 4, ntyp = 2
/
ATOMIC_SPECIES
Li 6.94 Li.upf
Y 88.91 Y.upf
ATOMIC_POSITIONS crystal
Li 0.000 0.000 0.000
Y 0.000 0.000 0.500
Y 0.500 0.500 0.247
Y 0.500 0.500 0.753
CELL_PARAMETERS angstrom
3.562 0.000 0.000
0.000 4.895 0.000
0.000 0.000 6.895
```

=====

Arrangement C

Here is crystalline LiY3 at its relaxed geometry from the Alexandria database. Energies are from PBE. Values from VASP.

Output
- volume (A^3/atom) = 29.93
- spin magnetization (μB/f.u.) = 0.437

```
&SYSTEM
  ibrav = 0, nat = 16, ntyp = 2
/
ATOMIC_SPECIES
Li 6.94 Li.upf
Y 88.91 Y.upf
ATOMIC_POSITIONS crystal
Li 0.000 0.000 0.000
Li 0.000 0.000 0.500
Li 0.333 0.667 0.250
Li 0.667 0.333 0.750
Y 0.000 0.500 0.000
Y 0.000 0.500 0.500
Y 0.166 0.331 0.750
Y 0.166 0.834 0.750
Y 0.331 0.166 0.250
Y 0.500 0.000 0.000
Y 0.500 0.000 0.500
Y 0.500 0.500 0.000
Y 0.500 0.500 0.500
Y 0.669 0.834 0.750
Y 0.834 0.166 0.250
Y 0.834 0.669 0.250
CELL_PARAMETERS angstrom
7.000 0.000 0.000
-3.500 6.063 0.000
0.000 0.000 11.283
```

=====

Arrangement D

Here is crystalline LiY3 at its relaxed geometry from the Alexandria database. Energies are from PBE. Values from VASP.

Output
- volume (A^3/atom) = 29.60
- spin magnetization (μB/f.u.) = 0.000

```
&SYSTEM
  ibrav = 0, nat = 4, ntyp = 2
/
ATOMIC_SPECIES
Li 6.94 Li.upf
Y 88.91 Y.upf
ATOMIC_POSITIONS crystal
Li 0.000 0.000 0.000
Y 0.250 0.250 0.250
Y 0.500 0.500 0.500
Y 0.750 0.750 0.750
CELL_PARAMETERS angstrom
0.000 3.898 3.898
3.898 0.000 3.898
3.898 3.898 0.000
```

=====

Q: Which of them is the least stable? A: arrangement D.

=====

Arrangement A

Here is crystalline LiY3 at its relaxed geometry from the Alexandria database. Energies are from PBE. Values from VASP.

Output
- volume (A^3/atom) = 29.81
- spin magnetization (μB/f.u.) = 0.000

```
&SYSTEM
  ibrav = 0, nat = 4, ntyp = 2
/
ATOMIC_SPECIES
Li 6.94 Li.upf
Y 88.91 Y.upf
ATOMIC_POSITIONS crystal
Li 0.000 0.000 0.000
Y 0.000 0.000 0.500
Y 0.401 0.500 0.238
Y 0.599 0.500 0.762
CELL_PARAMETERS angstrom
3.511 0.000 0.000
0.000 5.233 0.000
-1.619 0.000 6.489
```

=====

Arrangement B

Here is crystalline LiY3 at its relaxed geometry from the Alexandria database. Energies are from PBE. Values from VASP.

Output
- volume (A^3/atom) = 30.07
- spin magnetization (μB/f.u.) = 0.000

```
&SYSTEM
  ibrav = 0, nat = 4, ntyp = 2
/
ATOMIC_SPECIES
Li 6.94 Li.upf
Y 88.91 Y.upf
ATOMIC_POSITIONS crystal
Li 0.000 0.000 0.000
Y 0.253 0.253 0.253
Y 0.500 0.500 0.500
Y 0.747 0.747 0.747
CELL_PARAMETERS angstrom
1.759 1.016 11.218
-1.759 1.016 11.218
0.000 -2.032 11.218
```

=====

Q: Which of them is the least stable? A: arrangement A.

=====

Arrangement A

Here is crystalline LiY3 at its relaxed geometry from the Alexandria database. Energies are from PBE. Values from VASP.

Output
- volume (A^3/atom) = 29.97
- spin magnetization (μB/f.u.) = 0.088

```
&SYSTEM
  ibrav = 0, nat = 4, ntyp = 2
/
ATOMIC_SPECIES
Li 6.94 Li.upf
Y 88.91 Y.upf
ATOMIC_POSITIONS crystal
Li 0.000 0.000 0.000
Y 0.000 0.500 0.366
Y 0.500 0.000 0.495
Y 0.500 0.500 0.867
CELL_PARAMETERS angstrom
3.630 0.000 0.000
0.000 5.624 0.000
0.000 0.000 5.872
```

=====

Arrangement B

Here is crystalline LiY3 at its relaxed geometry from the Alexandria database. Energies are from PBE. Values from VASP.

Output
- volume (A^3/atom) = 29.15
- spin magnetization (μB/f.u.) = 0.000

```
&SYSTEM
  ibrav = 0, nat = 4, ntyp = 2
/
ATOMIC_SPECIES
Li 6.94 Li.upf
Y 88.91 Y.upf
ATOMIC_POSITIONS crystal
Li 0.000 0.000 0.000
Y 0.223 0.723 0.500
Y 0.500 0.500 0.000
Y 0.777 0.277 0.500
CELL_PARAMETERS angstrom
-1.881 2.750 5.636
1.881 -2.750 5.636
1.881 2.750 -5.636
```

=====

Q: Which of them is the least stable? A: arrangement A.

=====

Arrangement A

Here is crystalline LiY3 at its relaxed geometry from the Alexandria database. Energies are from PBE. Values from VASP.

Output
- volume (A^3/atom) = 29.99
- spin magnetization (μB/f.u.) = 0.000

```
&SYSTEM
  ibrav = 0, nat = 4, ntyp = 2
/
ATOMIC_SPECIES
Li 6.94 Li.upf
Y 88.91 Y.upf
ATOMIC_POSITIONS crystal
Li 0.000 0.000 0.000
Y 0.000 0.500 0.500
Y 0.500 0.000 0.500
Y 0.500 0.500 0.000
CELL_PARAMETERS angstrom
3.605 -4.548 0.000
3.605 4.548 0.000
0.000 0.000 3.659
```

=====

Arrangement B

Here is crystalline LiY3 at its relaxed geometry from the Alexandria database. Energies are from PBE. Values from VASP.

Output
- volume (A^3/atom) = 30.10
- spin magnetization (μB/f.u.) = 0.000

```
&SYSTEM
  ibrav = 0, nat = 4, ntyp = 2
/
ATOMIC_SPECIES
Li 6.94 Li.upf
Y 88.91 Y.upf
ATOMIC_POSITIONS crystal
Li 0.000 0.000 0.000
Y 0.000 0.500 0.500
Y 0.500 0.000 0.500
Y 0.500 0.500 0.000
CELL_PARAMETERS angstrom
5.540 3.198 1.133
-5.540 3.198 1.133
0.000 -6.397 1.133
```

=====

Arrangement C

Here is crystalline LiY3 at its relaxed geometry from the Alexandria database. Energies are from PBE. Values from VASP.

Output
- volume (A^3/atom) = 29.77
- spin magnetization (μB/f.u.) = 0.020

```
&SYSTEM
  ibrav = 0, nat = 4, ntyp = 2
/
ATOMIC_SPECIES
Li 6.94 Li.upf
Y 88.91 Y.upf
ATOMIC_POSITIONS crystal
Li 0.000 0.000 0.000
Y 0.000 0.500 0.500
Y 0.500 0.000 0.500
Y 0.500 0.500 0.000
CELL_PARAMETERS angstrom
4.920 0.000 0.000
0.000 4.920 0.000
0.000 0.000 4.920
```

=====

Q: Which of them is the least stable? A: arrangement C.

=====

Arrangement A

Here is crystalline LiY2Zn2 at its relaxed geometry from the Alexandria database. Energies are from PBE. Values from VASP.

Output
- volume (A^3/atom) = 24.63
- spin magnetization (μB/f.u.) = 0.000

```
&SYSTEM
  ibrav = 0, nat = 5, ntyp = 3
/
ATOMIC_SPECIES
Li 6.94 Li.upf
Y 88.91 Y.upf
Zn 65.41 Zn.upf
ATOMIC_POSITIONS crystal
Li 0.000 0.000 0.000
Y 0.250 0.750 0.500
Y 0.750 0.250 0.500
Zn 0.349 0.349 0.000
Zn 0.651 0.651 0.000
CELL_PARAMETERS angstrom
-2.822 2.822 3.866
2.822 -2.822 3.866
2.822 2.822 -3.866
```

=====

Arrangement B

Here is crystalline LiY2Zn2 at its relaxed geometry from the Alexandria database. Energies are from PBE. Values from VASP.

Output
- volume (A^3/atom) = 24.16
- spin magnetization (μB/f.u.) = 0.423

```
&SYSTEM
  ibrav = 0, nat = 10, ntyp = 3
/
ATOMIC_SPECIES
Li 6.94 Li.upf
Y 88.91 Y.upf
Zn 65.41 Zn.upf
ATOMIC_POSITIONS crystal
Li 0.000 0.000 0.000
Li 0.500 0.500 0.000
Y 0.149 0.351 0.000
Y 0.351 0.851 0.000
Y 0.649 0.149 0.000
Y 0.851 0.649 0.000
Zn 0.147 0.647 0.500
Zn 0.353 0.147 0.500
Zn 0.647 0.853 0.500
Zn 0.853 0.353 0.500
CELL_PARAMETERS angstrom
8.456 0.000 0.000
0.000 8.456 0.000
0.000 0.000 3.379
```

=====

Arrangement C

Here is crystalline LiY2Zn2 at its relaxed geometry from the Alexandria database. Energies are from PBE. Values from VASP.

Output
- volume (A^3/atom) = 23.46
- spin magnetization (μB/f.u.) = 0.000

```
&SYSTEM
  ibrav = 0, nat = 10, ntyp = 3
/
ATOMIC_SPECIES
Li 6.94 Li.upf
Y 88.91 Y.upf
Zn 65.41 Zn.upf
ATOMIC_POSITIONS crystal
Li 0.000 0.000 0.000
Li 0.500 0.500 0.000
Y 0.163 0.337 0.500
Y 0.337 0.837 0.500
Y 0.663 0.163 0.500
Y 0.837 0.663 0.500
Zn 0.132 0.632 0.000
Zn 0.368 0.132 0.000
Zn 0.632 0.868 0.000
Zn 0.868 0.368 0.000
CELL_PARAMETERS angstrom
7.740 0.000 0.000
0.000 7.740 0.000
0.000 0.000 3.916
```

=====

Q: Which of them is the least stable? A: arrangement A.